VASP calculation (GGA-PBE) on Si2MoIr after structural relaxation.

Calculated values
formation energy from raw total energies: -36.3 kJ/mol of atoms

a b c (Å): 3.3980 3.4394 10.0094
angles (deg): 90.00 90.00 90.00
Closest atoms and distances in Å follow each position.
Space group Imm2 (No. 44)
Asymmetric unit:
Si: 0.0000 0.0000 0.0000 (multiplicity 2)  2 Ir 2.45, 4 Mo 2.53
Si: 0.0000 0.5000 0.2638 (multiplicity 2)  4 Ir 2.50, 2 Mo 2.54
Mo: 0.0000 0.0000 0.5759 (multiplicity 2)  6 Si 2.53-2.54
Ir: 0.0000 0.5000 0.8258 (multiplicity 2)  6 Si 2.45-2.50

=====

VASP calculation (GGA-PBE) on Sc5Ag4Au after structural relaxation.

Calculated values
DFT total energy: -5.02 eV per atom

a b c (Å): 3.4074 3.4074 17.3411
angles (deg): 90.00 90.00 90.00
Closest atoms and distances in Å follow each position.
Space group P4/mmm (No. 123)
Asymmetric unit:
Sc: 0.0000 0.0000 0.0000 (multiplicity 1)  8 Ag 2.97
Sc: 0.0000 0.0000 0.2013 (multiplicity 2)  8 Ag 2.96-2.98
Sc: 0.0000 0.0000 0.4027 (multiplicity 2)  4 Au 2.94, 4 Ag 2.99
Ag: 0.5000 0.5000 0.1003 (multiplicity 2)  8 Sc 2.97-2.98
Ag: 0.5000 0.5000 0.3008 (multiplicity 2)  8 Sc 2.96-2.99
Au: 0.5000 0.5000 0.5000 (multiplicity 1)  8 Sc 2.94

=====

VASP calculation (GGA-PBE) on Dy2MnZn12Cu3 after structural relaxation.

Calculated values
DFT total energy: -2.54 eV per atom

a b c (Å): 5.4781 5.4781 35.9402
angles (deg): 90.00 90.00 120.00
Closest atoms and distances in Å follow each position.
Space group R-3m (No. 166, hexagonal axes)
Asymmetric unit:
Dy: 0.0000 0.0000 0.1447 (multiplicity 6)  9 Zn 2.99-3.20, 3 Mn 3.26
Mn: 0.0000 0.0000 0.5000 (multiplicity 3)  6 Zn 2.54
Zn: 0.0007 0.5004 0.1112 (multiplicity 18)  1 Mn 2.54, 6 Zn 2.64-2.74
Zn: 0.0161 0.5080 0.6136 (multiplicity 18)  2 Cu 2.50, 4 Zn 2.61-2.64
Cu: 0.0000 0.5000 0.0000 (multiplicity 9)  4 Zn 2.50, 4 Cu 2.74